The following is a DFT calculation (PBEsol) of crystalline Rb2CrBr2Cl2 at its relaxed geometry.

Geometry as CIF:
```
data_Rb2CrBr2Cl2
_cell_length_a 16.5646
_cell_length_b 7.0284
_cell_length_c 7.0323
_cell_angle_alpha 90.00
_cell_angle_beta 90.00
_cell_angle_gamma 90.00
_symmetry_space_group_name_H-M 'C m c e'
_symmetry_Int_Tables_number 64
_symmetry_space_group_name_Hall '-C 2ac 2'
loop_
_atom_site_label
_atom_site_type_symbol
_atom_site_fract_x
_atom_site_fract_y
_atom_site_fract_z
_atom_site_occupancy
Rb1 Rb 0.1359 0.0000 0.0000 1
Cr1 Cr 0.0000 0.0000 0.5000 1
Br1 Br 0.1557 0.0000 0.5000 1
Cl1 Cl 0.0000 0.2481 0.2519 1
```

The following is a DFT calculation (PBEsol) of crystalline Cr2SnBrCl at its relaxed geometry.

Geometry as CIF:
```
data_Cr2SnBrCl
_cell_length_a 5.2751
_cell_length_b 5.2751
_cell_length_c 5.0852
_cell_angle_alpha 90.00
_cell_angle_beta 90.00
_cell_angle_gamma 90.00
_symmetry_space_group_name_H-M 'P 4/m m m'
_symmetry_Int_Tables_number 123
_symmetry_space_group_name_Hall '-P 4 2'
loop_
_atom_site_label
_atom_site_type_symbol
_atom_site_fract_x
_atom_site_fract_y
_atom_site_fract_z
_atom_site_occupancy
Cr1 Cr 0.0000 0.5000 0.0000 1
Sn1 Sn 0.0000 0.0000 0.0000 1
Br1 Br 0.5000 0.5000 0.5000 1
Cl1 Cl 0.0000 0.0000 0.5000 1
```

The following is a DFT calculation (PBEsol) of crystalline YCrBrCl2 at its relaxed geometry.

Geometry as CIF:
```
data_YCrBrCl2
_cell_length_a 5.9686
_cell_length_b 5.9686
_cell_length_c 4.4359
_cell_angle_alpha 90.00
_cell_angle_beta 90.00
_cell_angle_gamma 90.00
_symmetry_space_group_name_H-M 'P 4/m m m'
_symmetry_Int_Tables_number 123
_symmetry_space_group_name_Hall '-P 4 2'
loop_
_atom_site_label
_atom_site_type_symbol
_atom_site_fract_x
_atom_site_fract_y
_atom_site_fract_z
_atom_site_occupancy
Y1 Y 0.0000 0.0000 0.0000 1
Cr1 Cr 0.5000 0.5000 0.0000 1
Br1 Br 0.5000 0.5000 0.5000 1
Cl1 Cl 0.0000 0.5000 0.5000 1
```

The following is a DFT calculation (PBEsol) of crystalline CsBrCl3 at its relaxed geometry.

Geometry as CIF:
```
data_CsBrCl3
_cell_length_a 13.2052
_cell_length_b 10.3907
_cell_length_c 10.7421
_cell_angle_alpha 90.00
_cell_angle_beta 100.49
_cell_angle_gamma 90.00
_symmetry_space_group_name_H-M 'C 1 2/c 1'
_symmetry_Int_Tables_number 15
loop_
_symmetry_equiv_pos_as_xyz
'x,y,z'
'-x,-y,-z'
'-x,y,-z+1/2'
'x,-y,z+1/2'
'x+1/2,y+1/2,z'
'-x+1/2,-y+1/2,-z'
'-x+1/2,y+1/2,-z+1/2'
'x+1/2,-y+1/2,z+1/2'
loop_
_atom_site_label
_atom_site_type_symbol
_atom_site_fract_x
_atom_site_fract_y
_atom_site_fract_z
_atom_site_occupancy
Cs1 Cs 0.2383 0.0023 0.1472 1
Br1 Br 0.0000 0.1871 0.7500 1
Br2 Br 0.0000 0.2039 0.2500 1
Cl1 Cl 0.0071 0.4291 0.0673 1
Cl2 Cl 0.1674 0.1886 0.8815 1
Cl3 Cl 0.1685 0.1973 0.3773 1
```

Q: Which ΔE_f (raw) values were calculated for the entries above? A: -1.41; 0.74; 0.27; -0.86, in eV/atom.